The following is a DFT calculation (PBE+U) of crystalline Hf3MnF at its relaxed geometry.

Calculated values
- V (Å³/atom) = 18.5
- space-group type = Pm-3m, No. 221
- total energy (eV per atom) = -8.094

a b c (Å): 4.526 4.526 4.526
angles (deg): 90.00 90.00 90.00
Fractional positions:
1 Hf 0.000 0.000 0.500
2 Hf 0.000 0.500 0.000
3 Hf 0.500 0.000 0.000
4 Mn 0.500 0.500 0.500
5 F 0.000 0.000 0.000